First-principles (PBE-GGA) data for an optimized crystal structure of Cs3TlO2, as listed in the Alexandria database.

The structure belongs to space group Ibam (No. 72); the cell edges are 7.186, 14.236 and 7.537 Å and the angles 90.00°, 90.00° and 90.00°. The inequivalent atoms are Cs at (0.000, 0.000, 0.250), Cs at (0.000, 0.261, 0.250), Tl at (0.000, 0.500, 0.000) and O at (0.249, 0.128, 0.000).

The value obtained for the energy relative to the elements, uncorrected is -17.35 kcal/mol of atoms. The offset from the most stable computed form comes out at 235.3 meV per atom.

***

First-principles (PBE-GGA) data for an optimized crystal structure of SrNb2Si, as listed in the Alexandria database.

The structure belongs to space group I-42d (No. 122); the cell edges are 4.798, 4.798 and 19.212 Å and the angles 90.00°, 90.00° and 90.00°. The inequivalent atoms are Sr at (0.000, 0.000, 0.000), Nb at (0.036, 0.250, 0.625) and Si at (0.000, 0.000, 0.500).

The value obtained for the energy relative to the elements, uncorrected is 13.33 kcal/mol of atoms.

***

Number 1: E_tot -3.2261 eV per atom, volume 771.1 Å³ per cell. Number 2: E_tot -6.2329 eV per atom, volume 442.4 Å³ per cell.